# LaAl3Zn3

An optimized crystal structure of LaAl3Zn3 (PBE, Alexandria via LeMat-Bulk).

```
14
Lattice="-0.568 4.284 0.688 -2.656 -1.365 6.302 9.321 1.214 0.142" Properties=species:S:1:pos:R:3 pbc="T T T"
Zn 3.628 1.322 1.723
Zn 2.945 0.456 6.554
Zn -0.417 2.944 2.201
Al 4.006 0.970 4.229
Zn 3.152 3.678 0.578
Al 4.835 2.976 6.337
Zn 6.514 1.190 4.931
La 5.626 3.617 2.998
Al 2.091 3.164 2.903
La 0.471 0.516 4.134
Al 1.262 1.157 0.795
Al 7.921 1.929 1.492
Zn 2.469 2.811 5.409
Al -1.824 2.205 5.640
```

Summary:
Calculated volume = 132.1 Å³/f.u.
Energy relative to the elements = -0.292 eV/atom

---

# Tm3Zn7Ag2

An optimized crystal structure of Tm3Zn7Ag2 (PBE, Alexandria via LeMat-Bulk).

```
12
Lattice="5.172 0.000 1.619 2.333 4.616 1.619 -0.059 -0.037 9.262" Properties=species:S:1:pos:R:3 pbc="T T T"
Zn 4.259 4.246 4.537
Zn 3.723 2.290 6.250
Ag 2.454 1.510 10.303
Zn 1.736 2.693 7.963
Zn 5.710 1.887 4.537
Zn 4.379 2.693 8.791
Zn 3.067 1.887 3.709
Ag 4.991 3.070 2.197
Zn 3.187 0.334 7.963
Tm 0.000 0.000 0.000
Tm 6.414 3.945 6.725
Tm 1.032 0.635 5.775
```

Summary:
Calculated volume = 221.8 Å³/f.u.
Energy relative to the elements = -0.281 eV/atom